The following is a PBEsol calculation of a geometry-optimized MnReTc2 structure, from Alexandria via LeMat-Bulk.

Lattice parameters (Å, degrees): 3.083 4.209 8.416 90.00 90.00 90.00
Space group Imm2 (No. 44)
Symmetry-distinct sites (fractional):
Mn1 0.000 0.000 0.000
Re1 0.000 0.500 0.739
Tc1 0.000 0.000 0.496
Tc2 0.000 0.500 0.257

Computed properties:
Calculated total energy, eV/cell: -89.94
Size of the total moment, μB per atom: 0.625

---

The following is a PBEsol calculation of a geometry-optimized MgSi2Tc structure, from Alexandria via LeMat-Bulk.

Lattice parameters (Å, degrees): 3.285 4.106 8.269 90.00 90.00 90.00
Space group Imm2 (No. 44)
Symmetry-distinct sites (fractional):
Mg1 0.000 0.000 0.000
Si1 0.000 0.000 0.502
Si2 0.000 0.500 0.240
Tc1 0.000 0.500 0.763

Computed properties:
Raw formation energy, eV per atom: -0.04
Size of the total moment, μB per atom: 0.000

---

The following is a PBEsol calculation of a geometry-optimized CdAg2Hg structure, from Alexandria via LeMat-Bulk.

Lattice parameters (Å, degrees): 2.978 4.101 6.008 90.00 92.54 90.00
Space group P2/m (No. 10)
Symmetry-distinct sites (fractional):
Cd1 0.000 0.000 0.000
Ag1 0.494 0.500 0.755
Hg1 0.000 0.000 0.500

Computed properties:
Calculated total energy, eV/cell: -8.47
Size of the total moment, μB per atom: 0.000

---

The following is a PBEsol calculation of a geometry-optimized FeHg2B structure, from Alexandria via LeMat-Bulk.

Lattice parameters (Å, degrees): 6.264 6.264 6.264 90.00 90.00 90.00
Space group Fm-3m (No. 225)
Symmetry-distinct sites (fractional):
Fe1 0.000 0.000 0.000
Hg1 0.250 0.250 0.250
B1 0.000 0.000 0.500

Computed properties:
Calculated total energy, eV/cell: -49.55
Size of the total moment, μB per atom: 0.612

---

The following is a PBEsol calculation of a geometry-optimized Sr2InBr5 structure, from Alexandria via LeMat-Bulk.

Lattice parameters (Å, degrees): 9.191 8.198 13.137 90.00 90.13 90.00
Space group P2_1/c (No. 14)
Symmetry-distinct sites (fractional):
Sr1 0.001 0.028 0.178
Sr2 0.251 0.075 0.494
In1 0.497 0.525 0.327
Br1 0.042 0.664 0.098
Br2 0.222 0.666 0.815
Br3 0.223 0.042 0.998
Br4 0.232 0.192 0.719
Br5 0.461 0.664 0.096

Computed properties:
Raw formation energy, eV per atom: -1.75
Size of the total moment, μB per atom: 0.000

---

The following is a PBEsol calculation of a geometry-optimized CaZnS2N structure, from Alexandria via LeMat-Bulk.

Lattice parameters (Å, degrees): 5.189 5.189 4.405 90.00 90.00 90.00
Space group P4/mmm (No. 123)
Symmetry-distinct sites (fractional):
Ca1 0.000 0.000 0.000
Zn1 0.500 0.500 0.500
S1 0.000 0.500 0.000
N1 0.000 0.000 0.500

Computed properties:
Raw formation energy, eV per atom: 0.82
Size of the total moment, μB per atom: 0.601

---

The following is a PBEsol calculation of a geometry-optimized LiCuNi2 structure, from Alexandria via LeMat-Bulk.

Lattice parameters (Å, degrees): 2.458 2.458 7.361 90.00 90.00 90.00
Space group P4mm (No. 99)
Symmetry-distinct sites (fractional):
Li1 0.000 0.000 0.000
Cu1 0.500 0.500 0.728
Ni1 0.000 0.000 0.486
Ni2 0.500 0.500 0.259

Computed properties:
Calculated total energy, eV/cell: -18.48
Size of the total moment, μB per atom: 0.200

---

The following is a PBEsol calculation of a geometry-optimized CaSc3Os structure, from Alexandria via LeMat-Bulk.

Lattice parameters (Å, degrees): 5.073 5.073 5.073 90.00 90.00 90.00
Space group Pm-3m (No. 221)
Symmetry-distinct sites (fractional):
Ca1 0.000 0.000 0.000
Sc1 0.000 0.500 0.500
Os1 0.500 0.500 0.500

Computed properties:
Calculated total energy, eV/cell: -34.50
Size of the total moment, μB per atom: 0.000